Computed, not measured: a relaxed Na3Tl3SeO8 crystal at the PBE level of DFT.

- Symmetry: No. 166
- Energy relative to the elements, uncorrected: -14.2 eV/f.u.

Cell: 6.819 6.819 6.819 Å, 59.28 59.28 59.28°
Fractional positions:
Na1 0.000 0.500 0.500
Na2 0.500 0.000 0.500
Na3 0.500 0.500 0.000
Tl1 0.000 0.000 0.500
Tl2 0.000 0.500 0.000
Tl3 0.500 0.000 0.000
Se1 0.500 0.500 0.500
O1 0.240 0.240 0.240
O2 0.268 0.718 0.718
O3 0.282 0.282 0.732
O4 0.282 0.732 0.282
O5 0.718 0.268 0.718
O6 0.718 0.718 0.268
O7 0.732 0.282 0.282
O8 0.760 0.760 0.760



Computed, not measured: a relaxed Er2Tm7Mg crystal at the PBE level of DFT.

- DOS(E_F): 1.1788 states/eV/atom
- Formation enthalpy at 0 K: 700.5 meV/atom
- Symmetry: No. 65

Cell: 9.192 9.192 5.260 Å, 90.00 90.00 124.24°
Fractional positions:
Er1 0.205 0.795 0.000
Er2 0.795 0.205 0.000
Tm1 0.000 0.000 0.000
Tm2 0.215 0.429 0.000
Tm3 0.301 0.699 0.500
Tm4 0.429 0.215 0.000
Tm5 0.571 0.785 0.000
Tm6 0.699 0.301 0.500
Tm7 0.785 0.571 0.000
Mg1 0.500 0.500 0.500



Computed, not measured: a relaxed V2Pd2Se crystal at the PBE level of DFT.

- DOS(E_F): 1.3748 states/eV/atom
- Symmetry: No. 127
- Offset from the most stable computed form: 1.9 kJ per mole of atoms
- Energy relative to the elements, uncorrected: 0.7 eV/f.u.

Cell: 7.615 7.615 2.835 Å, 90.00 90.00 90.00°
Fractional positions:
V1 0.167 0.333 0.000
V2 0.333 0.833 0.000
V3 0.667 0.167 0.000
V4 0.833 0.667 0.000
Pd1 0.127 0.627 0.500
Pd2 0.373 0.127 0.500
Pd3 0.627 0.873 0.500
Pd4 0.873 0.373 0.500
Se1 0.000 0.000 0.500
Se2 0.500 0.500 0.500



Computed, not measured: a relaxed CoW2Cl crystal at the PBE level of DFT.

- DOS(E_F): 0.8752 states/eV/atom
- Symmetry: No. 216
- Offset from the most stable computed form: 76.0 kJ per mole of atoms
- Energy relative to the elements, uncorrected: 4.7 eV/f.u.

Cell: 4.425 4.425 4.425 Å, 60.00 60.00 60.00°
Fractional positions:
Co1 0.000 0.000 0.000
W1 0.500 0.500 0.500
W2 0.750 0.750 0.750
Cl1 0.250 0.250 0.250



Computed, not measured: a relaxed YLuMgSn crystal at the PBE level of DFT.

- DOS(E_F): 1.0219 states/eV/atom
- Formation enthalpy at 0 K: -369.9 meV/atom
- Symmetry: No. 216

Cell: 5.257 5.257 5.257 Å, 60.00 60.00 60.00°
Fractional positions:
Y1 0.000 0.000 0.000
Lu1 0.500 0.500 0.500
Mg1 0.250 0.250 0.250
Sn1 0.750 0.750 0.750



Computed, not measured: a relaxed BeCu2HPt crystal at the PBE level of DFT.

- DOS(E_F): 0.2715 states/eV/atom
- Symmetry: No. 123
- Final energy: -0.3197 Ry per atom

Cell: 3.551 3.551 4.011 Å, 90.00 90.00 90.00°
Fractional positions:
Be1 0.000 0.000 0.000
Cu1 0.000 0.500 0.500
Cu2 0.500 0.000 0.500
H1 0.000 0.000 0.500
Pt1 0.500 0.500 0.000



Computed, not measured: a relaxed CdPN2O crystal at the PBE level of DFT.

- DOS(E_F): 0.5948 states/eV/atom
- Symmetry: No. 123
- Energy relative to the elements, uncorrected: 12.2 eV/f.u.

Cell: 4.126 4.126 5.436 Å, 90.00 90.00 90.00°
Fractional positions:
Cd1 0.000 0.000 0.000
P1 0.000 0.000 0.500
N1 0.000 0.500 0.000
N2 0.500 0.000 0.000
O1 0.500 0.500 0.500



Computed, not measured: a relaxed Cs2MgCuBr5 crystal at the PBE level of DFT.

- DOS(E_F): 0.0000 states/eV/atom
- Symmetry: No. 36
- Energy relative to the elements, uncorrected: -12.0 eV/f.u.

Cell: 10.758 10.758 14.546 Å, 90.00 90.00 157.17°
Fractional positions:
Cs1 0.124 0.876 0.500
Cs2 0.128 0.872 0.117
Cs3 0.872 0.128 0.617
Cs4 0.876 0.124 0.000
Mg1 0.205 0.795 0.819
Mg2 0.795 0.205 0.319
Cu1 0.433 0.567 0.240
Cu2 0.567 0.433 0.740
Br1 0.077 0.923 0.826
Br2 0.294 0.706 0.442
Br3 0.305 0.695 0.190
Br4 0.328 0.672 0.809
Br5 0.493 0.507 0.101
Br6 0.507 0.493 0.601
Br7 0.672 0.328 0.309
Br8 0.695 0.305 0.690
Br9 0.706 0.294 0.942
Br10 0.923 0.077 0.326



Computed, not measured: a relaxed LiCu2P crystal at the PBE level of DFT.

- DOS(E_F): 0.6714 states/eV/atom
- Formation enthalpy at 0 K: 144.8 meV/atom
- Symmetry: No. 166

Cell: 8.319 8.319 8.319 Å, 19.02 19.02 19.02°
Fractional positions:
Li1 0.000 0.000 0.000
Cu1 0.244 0.244 0.244
Cu2 0.756 0.756 0.756
P1 0.500 0.500 0.500



Computed, not measured: a relaxed TiBe2H6 crystal at the PBE level of DFT.

- DOS(E_F): 0.2305 states/eV/atom
- Symmetry: No. 225
- Final energy: -0.2506 Ry per atom

Cell: 4.429 4.429 4.429 Å, 60.00 60.00 60.00°
Fractional positions:
Ti1 0.000 0.000 0.000
Be1 0.250 0.250 0.250
Be2 0.750 0.750 0.750
H1 0.279 0.279 0.721
H2 0.279 0.721 0.279
H3 0.279 0.721 0.721
H4 0.721 0.279 0.279
H5 0.721 0.279 0.721
H6 0.721 0.721 0.279



Computed, not measured: a relaxed KZn2Os crystal at the PBE level of DFT.

- DOS(E_F): 0.4062 states/eV/atom
- Formation enthalpy at 0 K: 680.8 meV/atom
- Symmetry: No. 123
- Offset from the most stable computed form: 25.8 kJ per mole of atoms

Cell: 5.047 5.047 2.739 Å, 90.00 90.00 90.00°
Fractional positions:
K1 0.000 0.000 0.000
Zn1 0.000 0.500 0.500
Zn2 0.500 0.000 0.500
Os1 0.500 0.500 0.000



Computed, not measured: a relaxed NbCd2Au crystal at the PBE level of DFT.

- DOS(E_F): 0.4957 states/eV/atom
- Formation enthalpy at 0 K: 320.5 meV/atom
- Symmetry: No. 166
- Offset from the most stable computed form: 4.7 kJ per mole of atoms

Cell: 11.025 11.025 11.025 Å, 15.31 15.31 15.31°
Fractional positions:
Nb1 0.000 0.000 0.000
Cd1 0.090 0.090 0.090
Cd2 0.910 0.910 0.910
Au1 0.500 0.500 0.500



Computed, not measured: a relaxed NaTlCd14 crystal at the PBE level of DFT.

- DOS(E_F): 0.2503 states/eV/atom
- Formation enthalpy at 0 K: -10.5 meV/atom
- Symmetry: No. 38

Cell: 10.962 6.278 6.278 Å, 59.06 90.00 90.00°
Fractional positions:
Na1 0.000 0.000 0.000
Tl1 0.000 0.504 0.504
Cd1 0.000 0.002 0.498
Cd2 0.000 0.498 0.002
Cd3 0.245 0.823 0.823
Cd4 0.252 0.322 0.322
Cd5 0.258 0.323 0.825
Cd6 0.258 0.825 0.323
Cd7 0.500 0.495 0.495
Cd8 0.500 0.499 0.997
Cd9 0.500 0.994 0.994
Cd10 0.500 0.997 0.499
Cd11 0.742 0.323 0.825
Cd12 0.742 0.825 0.323
Cd13 0.748 0.322 0.322
Cd14 0.755 0.823 0.823



Computed, not measured: a relaxed B2C crystal at the PBE level of DFT.

- DOS(E_F): 0.1561 states/eV/atom
- Formation enthalpy at 0 K: 339.4 meV/atom
- Symmetry: No. 6
- Offset from the most stable computed form: 14.9 kJ per mole of atoms

Cell: 4.907 2.696 8.160 Å, 90.00 90.33 90.00°
Fractional positions:
B1 0.000 0.000 0.000
B2 0.002 0.000 0.451
B3 0.136 0.500 0.787
B4 0.255 0.000 0.665
B5 0.463 0.500 0.465
B6 0.499 0.500 0.992
B7 0.737 0.000 0.785
B8 0.794 0.500 0.492
C1 0.171 0.500 0.984
C2 0.308 0.000 0.479
C3 0.669 0.000 0.977
C4 0.807 0.500 0.692



Computed, not measured: a relaxed Rb9Cd4Hg crystal at the PBE level of DFT.

- DOS(E_F): 0.5754 states/eV/atom
- Formation enthalpy at 0 K: -27.9 meV/atom
- Symmetry: No. 194

Cell: 12.070 12.070 11.876 Å, 90.00 90.00 120.00°
Fractional positions:
Rb1 0.078 0.539 0.250
Rb2 0.186 0.372 0.561
Rb3 0.186 0.372 0.939
Rb4 0.186 0.814 0.561
Rb5 0.186 0.814 0.939
Rb6 0.372 0.186 0.061
Rb7 0.372 0.186 0.439
Rb8 0.461 0.539 0.250
Rb9 0.461 0.922 0.250
Rb10 0.539 0.078 0.750
Rb11 0.539 0.461 0.750
Rb12 0.628 0.814 0.561
Rb13 0.628 0.814 0.939
Rb14 0.814 0.186 0.061
Rb15 0.814 0.186 0.439
Rb16 0.814 0.628 0.061
Rb17 0.814 0.628 0.439
Rb18 0.922 0.461 0.750
Cd1 0.000 0.000 0.000
Cd2 0.000 0.000 0.500
Cd3 0.090 0.179 0.250
Cd4 0.090 0.910 0.250
Cd5 0.179 0.090 0.750
Cd6 0.821 0.910 0.250
Cd7 0.910 0.090 0.750
Cd8 0.910 0.821 0.750
Hg1 0.333 0.667 0.750
Hg2 0.667 0.333 0.250



Computed, not measured: a relaxed NiAgSe2 crystal at the PBE level of DFT.

- DOS(E_F): 0.9661 states/eV/atom
- Symmetry: No. 216
- Offset from the most stable computed form: 66.1 kJ per mole of atoms
- Energy relative to the elements, uncorrected: 2.2 eV/f.u.

Cell: 4.650 4.650 4.650 Å, 60.00 60.00 60.00°
Fractional positions:
Ni1 0.000 0.000 0.000
Ag1 0.250 0.250 0.250
Se1 0.500 0.500 0.500
Se2 0.750 0.750 0.750



Computed, not measured: a relaxed Na2Zn2Hg crystal at the PBE level of DFT.

- DOS(E_F): 0.2865 states/eV/atom
- Formation enthalpy at 0 K: 77.7 meV/atom
- Symmetry: No. 127
- Offset from the most stable computed form: 11.4 kJ per mole of atoms

Cell: 8.912 8.912 3.179 Å, 90.00 90.00 90.00°
Fractional positions:
Na1 0.191 0.309 0.000
Na2 0.309 0.809 0.000
Na3 0.691 0.191 0.000
Na4 0.809 0.691 0.000
Zn1 0.103 0.603 0.500
Zn2 0.397 0.103 0.500
Zn3 0.603 0.897 0.500
Zn4 0.897 0.397 0.500
Hg1 0.000 0.000 0.000
Hg2 0.500 0.500 0.000



Computed, not measured: a relaxed YSi2IrI crystal at the PBE level of DFT.

- DOS(E_F): 1.4465 states/eV/atom
- Symmetry: No. 123
- Energy relative to the elements, uncorrected: 6.9 eV/f.u.

Cell: 5.484 5.484 5.117 Å, 90.00 90.00 90.00°
Fractional positions:
Y1 0.000 0.000 0.000
Si1 0.000 0.500 0.000
Si2 0.500 0.000 0.000
Ir1 0.000 0.000 0.500
I1 0.500 0.500 0.500



Computed, not measured: a relaxed CsKZn2Pd crystal at the PBE level of DFT.

- DOS(E_F): 0.5236 states/eV/atom
- Formation enthalpy at 0 K: -6.2 meV/atom
- Symmetry: No. 123

Cell: 5.178 5.178 5.890 Å, 90.00 90.00 90.00°
Fractional positions:
Cs1 0.000 0.000 0.000
K1 0.500 0.500 0.000
Zn1 0.000 0.500 0.500
Zn2 0.500 0.000 0.500
Pd1 0.500 0.500 0.500



Computed, not measured: a relaxed NiTeCl2 crystal at the PBE level of DFT.

- Symmetry: No. 8
- Offset from the most stable computed form: 0.0 kJ per mole of atoms
- Energy relative to the elements, uncorrected: -1.6 eV/f.u.

Cell: 4.032 4.032 8.139 Å, 98.49 98.49 51.39°
Fractional positions:
Ni1 0.000 0.000 0.000
Te1 0.308 0.308 0.834
Cl1 0.440 0.440 0.576
Cl2 0.630 0.630 0.160